Crystalline Nd3Er5Tm at its relaxed geometry. Source: the Alexandria database, functional GGA-PBE.

Values from the calculation:
Its total magnetization is 0.00 μB/f.u. The value obtained for the energy of formation from the pure elements is 12.34 kcal/mol of atoms.

Unit cell a=9.4993 b=9.4993 c=11.6220 alpha=52.44 beta=52.44 gamma=72.60
Atoms (fractional coordinates):
Nd: 0.7025 0.7025 0.8070
Nd: 0.6599 0.6599 0.3659
Nd: 0.0000 0.0000 0.0000
Nd: 0.0000 0.0000 0.5000
Nd: 0.2975 0.2975 0.1930
Nd: 0.3401 0.3401 0.6341
Er: 0.8427 0.3424 0.2462
Er: 0.2587 0.7413 0.0000
Er: 0.8116 0.8116 0.9681
Er: 0.4899 0.4899 0.2255
Er: 0.5101 0.5101 0.7745
Er: 0.1884 0.1884 0.0319
Er: 0.3424 0.8427 0.2462
Er: 0.7413 0.2587 0.0000
Er: 0.1573 0.6576 0.7538
Er: 0.6576 0.1573 0.7538
Tm: 0.1463 0.1463 0.6057
Tm: 0.8537 0.8537 0.3943



Crystalline Zn4SnAu7 at its relaxed geometry. Source: the Alexandria database, functional GGA-PBE.

Values from the calculation:
Its total magnetization is 0.00 μB/f.u. The value obtained for the energy of formation from the pure elements is -1.21 kcal/mol of atoms.

Unit cell a=5.1558 b=8.5179 c=6.1499 alpha=80.92 beta=65.22 gamma=72.38
Atoms (fractional coordinates):
Zn: 0.5951 0.2207 0.5891
Zn: 0.4049 0.7793 0.4109
Zn: 0.7292 0.6700 0.8717
Zn: 0.2708 0.3300 0.1283
Sn: 0.0000 0.0000 0.0000
Au: 0.7896 0.8945 0.5262
Au: 0.2104 0.1055 0.4738
Au: 0.0765 0.6577 0.1894
Au: 0.9235 0.3423 0.8106
Au: 0.3635 0.5340 0.7390
Au: 0.5000 0.0000 0.0000
Au: 0.6365 0.4660 0.2610



Crystalline CeVBr6 at its relaxed geometry. Source: the Alexandria database, functional GGA-PBE.

Values from the calculation:
Its total magnetization is 3.00 μB/f.u. For the formation energy from raw total energies, the calculation gives -1.30 eV per atom.

Unit cell a=7.3094 b=7.3094 c=6.6925 alpha=97.97 beta=97.97 gamma=125.37
Atoms (fractional coordinates):
Ce: 0.0000 0.0000 0.0000
V: 0.5000 0.5000 0.5000
Br: 0.5809 0.8691 0.7273
Br: 0.8691 0.5809 0.7273
Br: 0.1309 0.4191 0.2727
Br: 0.4191 0.1309 0.2727
Br: 0.2608 0.2608 0.7371
Br: 0.7392 0.7392 0.2629



Crystalline AcPmY at its relaxed geometry. Source: the Alexandria database, functional GGA-PBE.

Values from the calculation:
Its total magnetization is 0.00 μB/f.u. The value obtained for the energy of formation from the pure elements is 18.73 kcal/mol of atoms.

Unit cell a=4.6458 b=4.6458 c=5.9648 alpha=90.00 beta=90.00 gamma=90.00
Atoms (fractional coordinates):
Ac: 0.0000 0.0000 0.0000
Y: 0.5000 0.5000 0.5000
Pm: 0.5000 0.5000 0.0000



Crystalline Tl3CuAg2Cl9 at its relaxed geometry. Source: the Alexandria database, functional GGA-PBE.

Values from the calculation:
Its total magnetization is 0.00 μB/f.u. For the formation energy from raw total energies, the calculation gives -0.66 eV per atom.

Unit cell a=7.1230 b=7.1230 c=8.7480 alpha=90.00 beta=90.00 gamma=120.00
Atoms (fractional coordinates):
Tl: 0.3333 0.6667 0.6669
Tl: 0.0000 0.0000 0.0000
Tl: 0.6667 0.3333 0.3331
Cu: 0.0000 0.0000 0.5000
Ag: 0.3333 0.6667 0.1745
Ag: 0.6667 0.3333 0.8255
Cl: 0.8400 0.1600 0.6583
Cl: 0.8400 0.6799 0.6583
Cl: 0.3201 0.1600 0.6583
Cl: 0.6799 0.8400 0.3417
Cl: 0.1600 0.3201 0.3417
Cl: 0.1600 0.8400 0.3417
Cl: 0.5000 0.0000 0.0000
Cl: 0.0000 0.5000 0.0000
Cl: 0.5000 0.5000 0.0000



Crystalline LiFeTe2N at its relaxed geometry. Source: the Alexandria database, functional GGA-PBE.

Values from the calculation:
Its total magnetization is 3.19 μB/f.u. For the formation energy from raw total energies, the calculation gives 1.01 eV per atom.

Unit cell a=5.1114 b=5.1114 c=3.4468 alpha=90.00 beta=90.00 gamma=90.00
Atoms (fractional coordinates):
Te: 0.0000 0.5000 0.0000
Te: 0.5000 0.0000 0.0000
Li: 0.0000 0.0000 0.0000
Fe: 0.5000 0.5000 0.5000
N: 0.0000 0.0000 0.5000